Sn5Pt4 PBE optimized geometry; VASP energy = -0.4002 Ry/atom
1.0
4.2916 0.0000 0.0000
-2.1458 3.7167 0.0000
0.0000 0.0000 24.3150
Sn Pt
10 8
direct
0.0000 0.0000 0.1407
0.0000 0.0000 0.3593
0.0000 0.0000 0.6407
0.0000 0.0000 0.8593
0.3333 0.6667 0.0386
0.3333 0.6667 0.2500
0.3333 0.6667 0.4614
0.6667 0.3333 0.5386
0.6667 0.3333 0.7500
0.6667 0.3333 0.9614
0.3333 0.6667 0.5802
0.3333 0.6667 0.6940
0.3333 0.6667 0.8060
0.3333 0.6667 0.9198
0.6667 0.3333 0.0802
0.6667 0.3333 0.1940
0.6667 0.3333 0.3060
0.6667 0.3333 0.4198


LuBiPO PBE optimized geometry; ΔE to the lowest computed polymorph = 0 kJ/mol of formula units
1.0
4.1616 0.0000 0.0000
0.0000 7.9107 0.0000
0.0000 0.0000 6.3822
Lu Bi P O
2 2 2 2
direct
0.0000 0.1493 0.0000
0.0000 0.8507 0.5000
0.5000 0.3154 0.5314
0.5000 0.6846 0.0314
0.5000 0.3626 0.9414
0.5000 0.6374 0.4414
0.0000 0.0264 0.2743
0.0000 0.9736 0.7743


Which volume belongs to each record? In order, 21.5; 26.3 Å³/atom.